# 1
Entry from the Alexandria database: a relaxed structure of NdTmAlPb (PBE).

Summary:
**Raw total energy**: -4.4842 eV/atom
**Fermi-level density of states**: 13.9 states/eV/cell
**Total magnetic moment**: 0.000 μB/f.u.

Lattice parameters (Å, degrees): 7.5639 7.5639 7.5639 90.00 90.00 90.00
Last column: nearest neighbours and their distance in Å.
Space group F-43m (No. 216)
One atom of each set of equivalent atoms:
Nd1 0.0000 0.0000 0.0000 [4 per cell]  4 Al 3.28, 4 Pb 3.28
Tm1 0.0000 0.0000 0.5000 [4 per cell]  4 Pb 3.28, 4 Al 3.28
Al1 0.2500 0.2500 0.7500 [4 per cell]  4 Nd 3.28, 4 Tm 3.28
Pb1 0.2500 0.2500 0.2500 [4 per cell]  4 Nd 3.28, 4 Tm 3.28



# 2
Entry from the Alexandria database: a relaxed structure of KNp2CoS4 (PBE).

Summary:
**Raw total energy**: -7.5579 eV/atom
**ΔE_f (raw)**: -1.23 eV/atom
**Fermi-level density of states**: 62.9 states/eV/cell
**Total magnetic moment**: 5.999 μB/f.u.

Lattice parameters (Å, degrees): 3.8930 13.6106 13.4175 90.00 90.00 90.00
Last column: nearest neighbours and their distance in Å.
Space group Cmcm (No. 63)
One atom of each set of equivalent atoms:
K1 0.0000 0.1015 0.2500 [4 per cell]  6 S 3.15-3.26
Np1 0.0000 0.3657 0.0592 [8 per cell]  6 S 2.66-2.79
Co1 0.0000 0.1692 0.7500 [4 per cell]  4 S 2.23-2.29
S1 0.0000 0.0000 0.0000 [4 per cell]  4 Np 2.79
S2 0.0000 0.2615 0.6127 [8 per cell]  1 Co 2.23
S3 0.0000 0.4196 0.2500 [4 per cell]  2 Co 2.29



# 3
Entry from the Alexandria database: a relaxed structure of KMoPt (PBE).

Summary:
**Excess energy over the best structure of this formula in the dataset**: 1543 meV per atom
**Raw total energy**: -3.9894 eV/atom
**Fermi-level density of states**: 6.3 states/eV/cell
**Total magnetic moment**: 4.852 μB/f.u.

Lattice parameters (Å, degrees): 6.8712 6.8712 6.8712 90.00 90.00 90.00
Last column: nearest neighbours and their distance in Å.
Space group F-43m (No. 216)
One atom of each set of equivalent atoms:
K1 0.0000 0.0000 0.0000 [4 per cell]  4 Mo 2.98, 4 Pt 2.98
Mo1 0.2500 0.2500 0.7500 [4 per cell]  4 K 2.98
Pt1 0.2500 0.2500 0.2500 [4 per cell]  4 K 2.98



- Which of these has the highest raw total energy?
  KMoPt